# 1
## Na3MgIn8 (PBE)

Data for Na3MgIn8 after structural relaxation.

- symmetry = No. 160
- ΔE to the lowest computed polymorph (meV/atom) = 0

Lattice parameters (Å, degrees): 6.233 6.233 10.639 72.97 72.97 60.00
Fractional positions:
Na 0.001 0.001 0.996
In 0.813 0.813 0.562
In 0.563 0.063 0.811
Na 0.624 0.624 0.129
In 0.062 0.561 0.316
In 0.312 0.312 0.065
Mg 0.128 0.128 0.617
In 0.561 0.062 0.316
Na 0.500 0.500 0.500
In 0.063 0.563 0.811
In 0.062 0.062 0.316
In 0.563 0.563 0.811



# 2
## NaMgIn (PBE)

Data for NaMgIn after structural relaxation.

- symmetry = No. 139
- ΔE to the lowest computed polymorph (meV/atom) = 0

Lattice parameters (Å, degrees): 3.728 3.728 12.686 98.45 98.45 90.00
Fractional positions:
Mg 0.284 0.284 0.569
Na 0.572 0.572 0.145
Mg 0.716 0.716 0.431
Na 0.428 0.428 0.855
In 0.152 0.152 0.304
In 0.848 0.848 0.696



# 3
## NaMg2In (PBE)

Data for NaMg2In after structural relaxation.

- uncorrected energy (eV per atom) = -1.827
- symmetry = No. 123

Lattice parameters (Å, degrees): 4.474 4.687 4.687 90.00 90.00 90.00
Fractional positions:
In 0.500 0.000 0.000
Mg 0.000 0.000 0.500
Na 0.500 0.500 0.500
Mg 0.000 0.500 0.000



# 4
## NaMgIn6 (PBE)

Data for NaMgIn6 after structural relaxation.

- uncorrected energy (eV per atom) = -2.397
- symmetry = No. 166

Lattice parameters (Å, degrees): 6.554 6.554 6.554 109.19 109.19 109.19
Fractional positions:
In 0.269 0.754 0.754
In 0.754 0.269 0.754
In 0.246 0.731 0.246
In 0.246 0.246 0.731
Mg 0.500 0.500 0.500
In 0.731 0.246 0.246
Na 0.000 0.000 0.000
In 0.754 0.754 0.269



# 5
## NaMg3In5 (PBE)

Data for NaMg3In5 after structural relaxation.

- uncorrected energy (eV per atom) = -2.229
- symmetry = No. 63

Lattice parameters (Å, degrees): 6.295 9.149 9.119 120.11 90.00 90.00
Fractional positions:
In 0.750 0.314 0.000
Na 0.500 0.000 0.000
In 0.750 0.000 0.314
Mg 0.750 0.644 0.000
In 0.250 0.000 0.686
In 0.250 0.686 0.000
Mg 0.750 0.355 0.355
In 0.250 0.314 0.314
In 0.000 0.667 0.333
Mg 0.250 0.645 0.645
Mg 0.250 0.000 0.355
In 0.000 0.333 0.667
Mg 0.750 0.000 0.645
In 0.500 0.333 0.667
In 0.500 0.667 0.333
Mg 0.250 0.356 0.000
In 0.750 0.686 0.686
Na 0.000 0.000 0.000



# 6
## Na3MgIn12 (PBE)

Data for Na3MgIn12 after structural relaxation.

- uncorrected energy (eV per atom) = -2.477
- symmetry = No. 123

Lattice parameters (Å, degrees): 4.742 4.742 18.417 90.00 90.00 90.00
Fractional positions:
Na 0.000 0.000 0.753
Na 0.000 0.000 0.247
In 0.000 0.500 0.121
In 0.500 0.500 0.000
In 0.500 0.000 0.121
In 0.500 0.000 0.879
In 0.500 0.500 0.248
In 0.500 0.500 0.752
Na 0.000 0.000 0.500
In 0.000 0.500 0.879
In 0.500 0.500 0.500
In 0.000 0.500 0.374
In 0.500 0.000 0.374
In 0.000 0.500 0.626
Mg 0.000 0.000 0.000
In 0.500 0.000 0.626



# 7
## Na12MgIn7 (PBE)

Data for Na12MgIn7 after structural relaxation.

- uncorrected energy (eV per atom) = -1.897
- symmetry = No. 148

Lattice parameters (Å, degrees): 8.531 8.531 8.531 101.90 101.90 101.90
Fractional positions:
In 0.910 0.912 0.316
In 0.500 0.500 0.500
Na 0.332 0.084 0.336
Na 0.237 0.763 0.501
Mg 0.000 0.000 0.000
In 0.316 0.910 0.912
Na 0.916 0.664 0.668
In 0.090 0.088 0.684
In 0.684 0.090 0.088
Na 0.237 0.499 0.763
In 0.088 0.684 0.090
Na 0.501 0.237 0.763
In 0.912 0.316 0.910
Na 0.499 0.763 0.237
Na 0.084 0.336 0.332
Na 0.336 0.332 0.084
Na 0.763 0.501 0.237
Na 0.668 0.916 0.664
Na 0.763 0.237 0.499
Na 0.664 0.668 0.916



# 8
## NaMg6In6 (PBE)

Data for NaMg6In6 after structural relaxation.

- uncorrected energy (eV per atom) = -2.170
- symmetry = No. 191

Lattice parameters (Å, degrees): 6.052 6.052 10.125 90.00 90.00 120.04
Fractional positions:
In 0.667 0.333 0.000
In 0.334 0.666 0.500
In 0.333 0.667 0.000
In 0.000 0.000 0.350
Mg 0.500 0.000 0.244
Mg 0.500 0.000 0.756
Mg 0.500 0.500 0.756
Na 0.000 0.000 0.000
Mg 0.000 0.500 0.244
Mg 0.500 0.500 0.244
In 0.000 0.000 0.650
In 0.666 0.334 0.500
Mg 0.000 0.500 0.756



# 9
## Na2MgIn6 (PBE)

Data for Na2MgIn6 after structural relaxation.

- symmetry = No. 65
- ΔE to the lowest computed polymorph (meV/atom) = 0

Lattice parameters (Å, degrees): 3.392 8.941 8.941 60.06 89.98 89.98
Fractional positions:
In 0.500 0.331 0.669
In 0.499 0.670 0.000
Na 0.000 0.667 0.667
In 0.499 0.000 0.670
Na 0.000 0.333 0.333
In 0.501 0.330 0.000
Mg 0.000 0.000 0.000
In 0.501 0.000 0.330
In 0.500 0.669 0.331



# 10
## NaMg2In (PBE)

Data for NaMg2In after structural relaxation.

- uncorrected energy (eV per atom) = -1.658
- symmetry = No. 122

Lattice parameters (Å, degrees): 4.490 4.490 11.384 78.63 78.63 90.00
Fractional positions:
Mg 0.113 0.625 0.250
Mg 0.875 0.887 0.750
Mg 0.637 0.125 0.250
Mg 0.375 0.363 0.750
In 0.000 0.000 0.000
Na 0.250 0.750 0.500
Na 0.500 0.500 0.000
In 0.750 0.250 0.500



# 11
## Na3Mg2In9 (PBE)

Data for Na3Mg2In9 after structural relaxation.

- uncorrected energy (eV per atom) = -2.367
- symmetry = No. 71

Lattice parameters (Å, degrees): 4.961 9.160 9.160 73.64 74.29 74.29
Fractional positions:
In 0.853 0.434 0.861
In 0.641 0.727 0.992
Na 0.719 0.281 0.281
In 0.641 0.992 0.727
In 0.359 0.008 0.273
Na 0.281 0.719 0.719
Mg 0.500 0.341 0.659
In 0.853 0.861 0.434
Na 0.000 0.000 0.000
In 0.359 0.273 0.008
Mg 0.500 0.659 0.341
In 0.147 0.566 0.139
In 0.147 0.139 0.566
In 0.000 0.500 0.500



# 12
## NaMg6In10 (PBE)

Data for NaMg6In10 after structural relaxation.

- uncorrected energy (eV per atom) = -2.273
- symmetry = No. 162

Lattice parameters (Å, degrees): 6.044 9.095 9.095 120.00 90.00 90.00
Fractional positions:
In 0.832 0.289 0.000
In 0.168 0.289 0.289
In 0.000 0.333 0.667
Mg 0.330 0.362 0.000
Na 0.500 0.000 0.000
In 0.500 0.667 0.333
In 0.168 0.711 0.000
Mg 0.330 0.638 0.638
Mg 0.670 0.638 0.000
In 0.500 0.333 0.667
In 0.832 0.000 0.289
Mg 0.670 0.000 0.638
Mg 0.670 0.362 0.362
In 0.000 0.667 0.333
In 0.168 0.000 0.711
Mg 0.330 0.000 0.362
In 0.832 0.711 0.711



no.,D(E_F) (states/eV/cell)
1,4.6
2,2.6
3,2.8
4,2.7
5,7.5
6,5.2
7,7.4
8,4.9
9,5.2
10,3.9
11,6.3
12,9.5